1.
! GaHWI2 | Alexandria via LeMat-Bulk | PBE | relaxed; values from VASP
! Crystal system: tetragonal
! Total magnetic moment, μB per formula unit: 3.1
! Space-group type: P4/mmm, No. 123
! Total DFT energy (no corrections), eV per atom: -3.615
&SYSTEM
  ibrav = 0, nat = 5, ntyp = 4
/
ATOMIC_SPECIES
Ga 69.72 Ga.upf
H 1.01 H.upf
W 183.84 W.upf
I 126.90 I.upf
CELL_PARAMETERS angstrom
5.503 0.000 0.000
0.000 5.503 0.000
0.000 0.000 3.638
ATOMIC_POSITIONS angstrom
Ga 0.000 0.000 0.000
H 2.751 2.751 1.819
W 2.751 2.751 0.000
I 0.000 2.751 1.819
I 2.751 0.000 1.819


2.
! Zr2GaHI | Alexandria via LeMat-Bulk | PBE | relaxed; values from VASP
! Crystal system: tetragonal
! Total magnetic moment, μB per formula unit: 0.0
! Space-group type: P4/mmm, No. 123
! Total DFT energy (no corrections), eV per atom: -4.858
&SYSTEM
  ibrav = 0, nat = 5, ntyp = 4
/
ATOMIC_SPECIES
Zr 91.22 Zr.upf
Ga 69.72 Ga.upf
H 1.01 H.upf
I 126.90 I.upf
CELL_PARAMETERS angstrom
4.393 0.000 0.000
0.000 4.393 0.000
0.000 0.000 4.937
ATOMIC_POSITIONS angstrom
Zr 0.000 2.197 0.000
Zr 2.197 0.000 0.000
Ga 0.000 0.000 2.469
H 2.197 2.197 0.000
I 2.197 2.197 2.469


3.
! InGa2H | Alexandria via LeMat-Bulk | PBE | relaxed; values from VASP
! Crystal system: trigonal
! Total magnetic moment, μB per formula unit: 0.0
! Space-group type: R-3m, No. 166
! Total DFT energy (no corrections), eV per atom: -2.776
&SYSTEM
  ibrav = 0, nat = 12, ntyp = 3
/
ATOMIC_SPECIES
In 114.82 In.upf
Ga 69.72 Ga.upf
H 1.01 H.upf
CELL_PARAMETERS angstrom
3.171 0.000 0.000
-1.586 2.747 0.000
0.000 0.000 24.709
ATOMIC_POSITIONS angstrom
In 0.000 0.000 0.000
In 0.000 1.831 16.472
In 1.586 0.916 8.236
Ga 0.000 0.000 2.905
Ga 0.000 0.000 21.803
Ga 0.000 1.831 13.567
Ga 0.000 1.831 19.378
Ga 1.586 0.916 5.331
Ga 1.586 0.916 11.142
H 0.000 0.000 12.354
H 0.000 1.831 4.118
H 1.586 0.916 20.591


4.
! InGaH3 | Alexandria via LeMat-Bulk | PBE | relaxed; values from VASP
! Crystal system: cubic
! Total magnetic moment, μB per formula unit: 0.0
! Space-group type: Pm-3m, No. 221
! Total DFT energy (no corrections), eV per atom: -2.727
&SYSTEM
  ibrav = 0, nat = 5, ntyp = 3
/
ATOMIC_SPECIES
In 114.82 In.upf
Ga 69.72 Ga.upf
H 1.01 H.upf
CELL_PARAMETERS angstrom
4.059 0.000 0.000
0.000 4.059 0.000
0.000 0.000 4.059
ATOMIC_POSITIONS angstrom
In 0.000 0.000 0.000
Ga 2.029 2.029 2.029
H 0.000 0.000 2.029
H 0.000 2.029 0.000
H 2.029 0.000 0.000


5.
! InGaH2 | Alexandria via LeMat-Bulk | PBE | relaxed; values from VASP
! Crystal system: tetragonal
! Total magnetic moment, μB per formula unit: 0.0
! Space-group type: I-42d, No. 122
! Total DFT energy (no corrections), eV per atom: -2.796
&SYSTEM
  ibrav = 0, nat = 16, ntyp = 3
/
ATOMIC_SPECIES
In 114.82 In.upf
Ga 69.72 Ga.upf
H 1.01 H.upf
CELL_PARAMETERS angstrom
4.720 0.000 0.000
0.000 4.720 0.000
0.000 0.000 10.866
ATOMIC_POSITIONS angstrom
In 0.000 0.000 0.000
In 0.000 2.360 2.717
In 2.360 0.000 8.150
In 2.360 2.360 5.433
Ga 0.000 0.000 5.433
Ga 0.000 2.360 8.150
Ga 2.360 0.000 2.717
Ga 2.360 2.360 0.000
H 0.020 1.180 6.791
H 1.180 2.380 9.508
H 1.180 4.700 4.075
H 2.340 1.180 1.358
H 2.380 3.540 1.358
H 3.540 0.020 4.075
H 3.540 2.340 9.508
H 4.700 3.540 6.791


6.
! InGaH | Alexandria via LeMat-Bulk | PBE | relaxed; values from VASP
! Crystal system: triclinic
! Total magnetic moment, μB per formula unit: 0.0
! Space-group type: P1, No. 1
! Total DFT energy (no corrections), eV per atom: -2.895
&SYSTEM
  ibrav = 0, nat = 6, ntyp = 3
/
ATOMIC_SPECIES
In 114.82 In.upf
Ga 69.72 Ga.upf
H 1.01 H.upf
CELL_PARAMETERS angstrom
3.085 0.000 0.000
-0.384 4.456 0.000
-1.249 -2.219 7.866
ATOMIC_POSITIONS angstrom
In 0.000 0.000 0.000
In 0.048 0.019 5.923
Ga 1.356 2.230 1.493
Ga 1.383 2.246 4.433
H 0.035 -0.373 2.949
H -0.006 0.395 2.975